# YCdMo2 (PBEsol, optimized geometry)
# Energy relative to the elements: 0.282 eV per atom
# Symmetry: Pm, No. 6
data_YCdMo2
_symmetry_space_group_name_H-M 'P 1'
_symmetry_Int_Tables_number 1
_symmetry_space_group_name_Hall 'P 1'
_cell_length_a 2.948
_cell_length_b 4.297
_cell_length_c 6.115
_cell_angle_alpha 90.00
_cell_angle_beta 100.39
_cell_angle_gamma 90.00
loop_
_atom_site_label
_atom_site_type_symbol
_atom_site_fract_x
_atom_site_fract_y
_atom_site_fract_z
_atom_site_occupancy
Y1 Y 0.000 0.000 0.000 1
Cd1 Cd 0.608 0.500 0.286 1
Mo1 Mo 0.170 0.000 0.541 1
Mo2 Mo 0.486 0.500 0.732 1